No. 1
# NaScTe2O6 PBE relaxed
# * raw formation energy: -1.796 eV/atom
# * E_tot: -246.6 eV for the cell shown
data_NaScTe2O6
_chemical_formula_sum 'Na4 Sc4 Te8 O24'
_symmetry_space_group_name_H-M 'C 1 2/c 1'
_symmetry_Int_Tables_number 15
_symmetry_space_group_name_Hall '-C 2yc'
_cell_length_a 10.856
_cell_length_b 11.623
_cell_length_c 5.881
_cell_angle_alpha 90.00
_cell_angle_beta 103.13
_cell_angle_gamma 90.00
loop_
_atom_site_label
_atom_site_fract_x
_atom_site_fract_y
_atom_site_fract_z
Na1 0.000 0.073 0.250
Sc1 0.000 0.425 0.750
Te1 0.245 0.120 0.852
O1 0.119 0.495 0.069
O2 0.138 0.295 0.898
O3 0.139 0.046 0.016

No. 2
# PuTiBi2 PBE relaxed
# * distance to the lowest polymorph of the same formula: 55 meV per atom
# * E_tot: -30.3 eV for the cell shown
data_PuTiBi2
_chemical_formula_sum 'Pu1 Ti1 Bi2'
_symmetry_space_group_name_H-M 'P 4/m m m'
_symmetry_Int_Tables_number 123
_symmetry_space_group_name_Hall '-P 4 2'
_cell_length_a 5.007
_cell_length_b 5.007
_cell_length_c 4.148
_cell_angle_alpha 90.00
_cell_angle_beta 90.00
_cell_angle_gamma 90.00
loop_
_atom_site_label
_atom_site_fract_x
_atom_site_fract_y
_atom_site_fract_z
Pu1 0.000 0.000 0.000
Ti1 0.500 0.500 0.000
Bi1 0.000 0.500 0.500

No. 3
# BeMo2Br PBE relaxed
# * raw formation energy: 0.926 eV/atom
# * distance to the lowest polymorph of the same formula: 612 meV per atom
# * E_tot: -93.4 eV for the cell shown
data_BeMo2Br
_chemical_formula_sum 'Be4 Mo8 Br4'
_symmetry_space_group_name_H-M 'F -4 3 m'
_symmetry_Int_Tables_number 216
_symmetry_space_group_name_Hall 'F -4 2 3'
_cell_length_a 6.264
_cell_length_b 6.264
_cell_length_c 6.264
_cell_angle_alpha 90.00
_cell_angle_beta 90.00
_cell_angle_gamma 90.00
loop_
_atom_site_label
_atom_site_fract_x
_atom_site_fract_y
_atom_site_fract_z
Be1 0.000 0.000 0.000
Mo1 0.000 0.000 0.500
Mo2 0.250 0.250 0.750
Br1 0.250 0.250 0.250

No. 4
# K2AcSmSe4 PBE relaxed
# * raw formation energy: -1.778 eV/atom
# * E_tot: -39.2 eV for the cell shown
data_K2AcSmSe4
_chemical_formula_sum 'K2 Ac1 Sm1 Se4'
_symmetry_space_group_name_H-M 'P 1 2/m 1'
_symmetry_Int_Tables_number 10
_symmetry_space_group_name_Hall '-P 2y'
_cell_length_a 7.701
_cell_length_b 4.439
_cell_length_c 8.132
_cell_angle_alpha 90.00
_cell_angle_beta 108.32
_cell_angle_gamma 90.00
loop_
_atom_site_label
_atom_site_fract_x
_atom_site_fract_y
_atom_site_fract_z
K1 0.000 0.000 0.000
K2 0.500 0.500 0.000
Ac1 0.000 0.500 0.500
Sm1 0.500 0.000 0.500
Se1 0.252 0.000 0.716
Se2 0.275 0.500 0.290

Q: Number 1 is which compound?
A: NaScTe2O6